# Cs2O3

Cs2O3 at its PBEsol-relaxed geometry (meta-GGA SCAN, the Alexandria database).

Lattice parameters (Å, degrees): 8.3185 8.3185 8.3185 109.47 109.47 109.47
Fractional coordinates of all 20 atoms:
Cs1 0.6045 0.0000 0.0000
Cs2 0.8955 0.8955 0.3955
Cs3 0.0000 0.5000 0.1045
Cs4 0.1045 0.0000 0.0000
Cs5 0.5000 0.6045 0.5000
Cs6 0.3955 0.3955 0.8955
Cs7 0.5000 0.1045 0.5000
Cs8 0.0000 0.5000 0.6045
O1 0.8028 0.0528 0.7500
O2 0.6972 0.4472 0.2500
O3 0.0528 0.2500 0.3028
O4 0.3028 0.7500 0.0528
O5 0.4472 0.7500 0.1972
O6 0.1972 0.2500 0.4472
O7 0.7500 0.6972 0.9472
O8 0.5528 0.3028 0.2500
O9 0.2500 0.8028 0.5528
O10 0.9472 0.1972 0.7500
O11 0.2500 0.9472 0.6972
O12 0.7500 0.5528 0.8028

* space-group type: I-43d, No. 220
* final energy: -19.915 eV per atom
* mass density: 4.70 g/cm3